A) PBE DyBeTl, optimized geometry; magnetization = 0.00 μB per formula unit
1.0
0.000 3.405 3.405
3.405 0.000 3.405
3.405 3.405 0.000
Dy Tl Be
1 1 1
Cartesian
1.702 1.702 1.702
0.000 0.000 0.000
3.405 3.405 3.405

=====

B) PBE DyBeTl, optimized geometry; magnetization = 0.00 μB per formula unit
1.0
3.039 1.148 3.381
1.338 4.462 0.533
-1.451 2.454 3.723
Dy Tl Be
1 1 1
Cartesian
2.194 6.048 5.728
0.000 0.000 0.000
0.731 2.016 1.909

=====

Most stable: B). Least stable: A).

=====

A) PBE ErBeFe, optimized geometry; magnetization = 1.50 μB per formula unit
1.0
0.000 3.041 3.041
3.041 0.000 3.041
3.041 3.041 0.000
Be Fe Er
1 1 1
Cartesian
1.520 1.520 1.520
4.561 4.561 4.561
0.000 0.000 0.000

=====

B) PBE ErBeFe, optimized geometry; magnetization = 0.97 μB per formula unit
1.0
0.000 2.934 2.934
2.934 0.000 2.934
2.934 2.934 0.000
Fe Be Er
1 1 1
Cartesian
4.402 4.402 4.402
0.000 0.000 0.000
1.467 1.467 1.467

=====

Most stable: B). Least stable: A).